## Hf2ZnIn2 (PBE)

Data for a geometry-optimized Hf2ZnIn2 structure.

Energy above the lowest structure with this stoichiometry: 0.0000 eV per atom
Energy of formation: 0.291 eV/f.u.

Cell lengths 6.9611, 6.9611, 4.4059 Å; angles 90.00, 90.00, 90.00 degrees
Closest atoms and distances in Å follow each position.
Fractional coordinates of all 10 atoms:
1 In 0.1406 0.3594 0.0000  2 Zn 2.69, 1 In 2.77, 2 Hf 2.91
2 In 0.6406 0.1406 0.0000  2 Zn 2.69, 1 In 2.77, 2 Hf 2.91
3 In 0.8594 0.6406 0.0000  2 Zn 2.69, 1 In 2.77, 2 Hf 2.91
4 In 0.3594 0.8594 0.0000  2 Zn 2.69, 1 In 2.77, 2 Hf 2.91
5 Hf 0.8334 0.3334 0.5000  6 In 2.91-3.08
6 Hf 0.1666 0.6666 0.5000  6 In 2.91-3.08
7 Hf 0.6666 0.8334 0.5000  6 In 2.91-3.08
8 Hf 0.3334 0.1666 0.5000  6 In 2.91-3.08
9 Zn 0.0000 0.0000 0.0000  4 In 2.69
10 Zn 0.5000 0.5000 0.0000  4 In 2.69